No. 1
Ac2DyAgSe5 | PBE-GGA | relaxed

Computed properties:
SG: Cmc2_1, No. 36
Crystal system: orthorhombic
Uncorrected formation energy in eV/f.u.: -15.1

Cell: 4.300 9.287 12.795 Å, 90.00 90.00 103.38°
Sites, in units of the cell vectors:
Se (0.502, 0.004, 0.272)
Se (0.288, 0.577, 0.663)
Se (0.645, 0.289, 0.502)
Se (0.305, 0.611, 0.353)
Se (0.498, 0.996, 0.772)
Se (0.712, 0.423, 0.163)
Se (0.953, 0.905, 0.571)
Se (0.355, 0.711, 0.002)
Se (0.047, 0.095, 0.071)
Se (0.695, 0.389, 0.853)
Ac (0.875, 0.749, 0.809)
Ac (0.111, 0.223, 0.686)
Ac (0.125, 0.251, 0.309)
Ac (0.889, 0.777, 0.186)
Ag (0.443, 0.886, 0.458)
Ag (0.557, 0.114, 0.958)
Dy (0.806, 0.611, 0.510)
Dy (0.194, 0.389, 0.010)

=====

No. 2
AcDySiAg | PBE-GGA | relaxed

Computed properties:
SG: F-43m, No. 216
Crystal system: cubic
Uncorrected formation energy in eV/f.u.: -1.3

Cell: 5.302 5.302 5.302 Å, 60.00 60.00 60.00°
Sites, in units of the cell vectors:
Ag (0.250, 0.250, 0.250)
Si (0.750, 0.750, 0.750)
Dy (0.000, 0.000, 0.000)
Ac (0.500, 0.500, 0.500)

=====

No. 3
AcDyAg2Sn2 | PBE-GGA | relaxed

Computed properties:
SG: P-3m1, No. 164
Crystal system: trigonal
DFT total energy in eV/atom: -4.3251

Cell: 4.822 4.822 7.936 Å, 90.00 90.00 120.00°
Sites, in units of the cell vectors:
Ag (0.333, 0.667, 0.688)
Ag (0.667, 0.333, 0.312)
Sn (0.667, 0.333, 0.733)
Sn (0.333, 0.667, 0.267)
Dy (0.000, 0.000, 0.500)
Ac (0.000, 0.000, 0.000)

=====

No. 4
AcDyAgSn | PBE-GGA | relaxed

Computed properties:
SG: F-43m, No. 216
Crystal system: cubic
DFT total energy in eV/atom: -4.3313

Cell: 5.491 5.491 5.491 Å, 60.00 60.00 60.00°
Sites, in units of the cell vectors:
Dy (0.000, 0.000, 0.000)
Sn (0.250, 0.250, 0.250)
Ac (0.500, 0.500, 0.500)
Ag (0.750, 0.750, 0.750)

=====

No. 5
Ac2DyAg3Sn4 | PBE-GGA | relaxed

Computed properties:
SG: P-4m2, No. 115
Crystal system: tetragonal
DFT total energy in eV/atom: -4.2333

Cell: 4.749 4.749 12.299 Å, 90.00 90.00 90.00°
Sites, in units of the cell vectors:
Ag (0.000, 0.500, 0.130)
Ag (0.500, 0.000, 0.870)
Ag (0.000, 0.000, 0.500)
Sn (0.000, 0.500, 0.351)
Sn (0.500, 0.000, 0.649)
Sn (0.000, 0.000, 0.000)
Sn (0.500, 0.500, 0.000)
Ac (0.500, 0.000, 0.233)
Ac (0.000, 0.500, 0.767)
Dy (0.500, 0.500, 0.500)

=====

No. 6
Ac3Dy2Tl4Ag2 | PBE-GGA | relaxed

Computed properties:
SG: P-3m1, No. 164
Crystal system: trigonal
DFT total energy in eV/atom: -3.5335

Cell: 5.144 5.144 15.418 Å, 90.00 90.00 120.00°
Sites, in units of the cell vectors:
Ac (0.000, 0.000, 0.000)
Ac (0.000, 0.000, 0.751)
Ac (0.000, 0.000, 0.249)
Tl (0.333, 0.667, 0.367)
Tl (0.667, 0.333, 0.633)
Tl (0.667, 0.333, 0.130)
Tl (0.333, 0.667, 0.870)
Ag (0.333, 0.667, 0.128)
Ag (0.667, 0.333, 0.872)
Dy (0.667, 0.333, 0.427)
Dy (0.333, 0.667, 0.573)